ScCdRu2, relaxed, DFT PBE; total magnetization = 0.00 μB per formula unit; ρ = 8.881 Mg/m³; space-group type = Cmmm, No. 65; DFT formation energy = 0.36 eV per formula unit
1.0
-2.3920 1.3280 -0.8768
-0.4797 -2.0438 1.9613
0.9528 5.9937 6.4791
Ru Sc Cd
2 1 1
Cartesian
0.0131 0.0821 0.0887
0.4633 2.9148 3.1508
-1.1976 1.1405 2.1620
-0.7213 4.1374 5.4016

NdMgCu, relaxed, DFT PBE; total magnetization = 0.00 μB per formula unit; ρ = 5.604 Mg/m³; space-group type = Pnma, No. 62; DFT formation energy = -0.37 eV per formula unit
1.0
4.8916 0.0000 0.0000
0.0000 7.1252 0.0000
0.0000 0.0000 7.8920
Mg Nd Cu
4 4 4
Cartesian
3.6687 6.3379 1.4033
1.2229 2.7753 2.5427
3.6687 4.3499 5.3493
1.2229 0.7873 6.4887
1.2229 5.8116 3.6188
3.6687 1.3136 4.2732
3.6687 2.2490 0.3272
1.2229 4.8762 7.5647
1.2229 3.0621 5.2140
3.6687 6.6247 6.6240
3.6687 4.0631 2.6780
1.2229 0.5005 1.2680

Ho12Mg5Zr3, relaxed, DFT PBE; total magnetization = 4.48 μB per formula unit; ρ = 5.318 Mg/m³; space-group type = Ia-3d, No. 230; DFT formation energy = 15.86 eV per formula unit
1.0
-13.0209 -8.7275 0.2123
11.3858 -7.4104 7.8234
-2.8675 13.8299 6.8020
Ho Zr Mg
48 12 20
Cartesian
-4.4564 2.8023 10.7790
1.7009 -7.6766 5.7073
-7.1706 0.9978 11.1284
-5.2239 -4.7472 2.8535
-7.6586 0.7150 5.9356
-6.0836 -10.1418 5.7221
-8.7653 3.3261 9.0326
-6.2035 5.3687 9.1305
-9.3506 -3.5841 5.2304
8.4044 -2.6889 9.7602
1.2931 -2.7514 11.8706
3.6726 0.6312 12.5985
-5.7956 0.4435 2.9671
-12.9070 0.3810 5.0775
-5.3945 3.2515 5.0432
-0.0461 -5.1103 4.0587
-4.1757 -6.4793 10.6634
-3.1956 1.7121 6.9247
-13.5773 3.1172 6.7534
3.6006 4.1071 13.1173
-3.2346 -0.8679 4.5376
0.7213 2.4393 11.9842
-3.9421 10.9686 6.8950
-4.4839 -3.5150 12.0282
0.8048 -1.2455 7.4679
-3.1296 8.0315 5.6875
-1.2679 -1.4401 10.3001
-8.1032 -6.4151 1.7204
1.6870 2.6181 8.8568
-3.2272 -8.5381 5.8410
-0.5604 -13.2766 7.9427
-1.3069 -4.0201 7.9131
-0.3268 4.1714 4.1743
3.1560 -3.0230 8.9021
-6.1895 -4.9260 5.9809
-0.0187 1.2071 2.8095
4.2717 4.7248 9.9688
4.2628 -5.6340 5.8051
-8.7743 -7.0328 4.8689
-5.3074 -1.0625 7.3699
-1.2754 6.2302 8.9967
4.8480 1.2762 9.6073
-8.1751 -2.9392 2.2392
9.0747 -5.4252 8.0843
1.5810 7.8339 9.1156
-1.3729 -10.3395 9.1503
0.8920 -5.5595 9.7945
2.6680 -3.3057 3.7094
1.5164 -4.4468 6.6697
-5.8544 -7.5958 3.9432
-6.3669 -2.1210 4.6393
-2.9073 2.0781 3.5818
-1.2902 9.1577 7.9342
1.3519 5.2878 10.8945
-1.5952 -4.3860 11.2560
-6.0190 2.1389 8.1680
-3.2123 -11.4656 6.9036
1.8644 -0.1869 10.1984
6.1844 2.7974 11.9736
-10.6869 -5.1053 2.8642
-2.1077 1.0887 11.9520
-6.4278 -1.8956 10.1769
-0.8175 -8.0689 4.0178
-3.7248 -5.9909 7.5996
-10.3390 -0.8454 6.3929
-0.7777 3.6829 7.2381
5.6929 -3.7052 3.9117
-7.9442 2.5512 3.5072
-2.3948 -3.3967 2.8857
4.2592 3.2098 7.3127
-1.4337 6.9150 3.4010
-6.5105 -4.3637 0.1061
-10.8515 4.6293 7.0889
1.1077 -8.4813 8.6787
-5.6102 6.1734 6.1591
0.0000 0.0000 0.0000
-2.2513 -1.1540 7.4189
6.3490 -6.9372 7.7488
5.8365 -1.4625 8.4449
1.9252 -0.4124 4.6608

GdAlZn, relaxed, DFT PBE; total magnetization = 7.39 μB per formula unit; ρ = 6.525 Mg/m³; space-group type = P-6m2, No. 187; DFT formation energy = -1.36 eV per formula unit
1.0
3.5729 0.0000 0.0000
0.0000 4.5313 0.0000
0.0000 -2.2657 3.9243
Al Zn Gd
1 1 1
Cartesian
0.5958 0.0000 0.0000
0.5949 0.0000 2.6162
2.3822 2.2657 1.3081

ZrTcMo2, relaxed, DFT PBE; total magnetization = 0.00 μB per formula unit; ρ = 9.441 Mg/m³; space-group type = Pmmm, No. 47; DFT formation energy = -0.37 eV per formula unit; relative energy among the computed polymorphs = 27 meV/atom
1.0
3.2262 0.0000 0.0000
0.0000 4.5121 0.0000
0.0000 0.0000 4.6048
Mo Zr Tc
2 1 1
Cartesian
0.0000 0.0000 0.0000
1.6131 2.2561 0.0000
0.0000 2.2561 2.3024
1.6131 0.0000 2.3024

Cs3NpSc3Se8, relaxed, DFT PBE; total magnetization = 3.00 μB per formula unit; ρ = 4.864 Mg/m³; space-group type = R-3m, No. 166; formation energy from raw total energies = -1.504 eV/atom
1.0
-7.2527 3.2918 1.3801
0.6099 -6.7070 -4.4706
1.1964 -1.3446 9.4948
Cs Sc Np Se
3 3 1 8
Cartesian
-3.3214 -1.7076 -1.5453
0.3049 -3.3535 -2.2353
0.0000 0.0000 0.0000
0.9031 -4.0258 2.5121
-3.0281 0.9736 5.4375
-2.7232 -2.3799 3.2022
0.5982 -0.6723 4.7474
-4.8635 -1.5058 1.7056
-5.1596 1.7495 3.8757
-1.2697 -3.2187 1.0047
-0.5828 -3.2540 4.6987
-4.1767 -1.5412 5.3996
-3.8071 -4.9116 3.1985
-0.2868 -6.5094 2.5286
-1.6393 0.1518 3.2058

CeHfSc2, relaxed, DFT PBE; total magnetization = 0.08 μB per formula unit; ρ = 6.943 Mg/m³; space-group type = R-3m, No. 166; DFT formation energy = 0.28 eV per formula unit; relative energy among the computed polymorphs = 0 meV/atom
1.0
-0.7227 -0.3047 3.1368
1.2449 -2.4413 1.7161
8.6776 5.2167 4.1723
Sc Hf Ce
2 1 1
Cartesian
6.7822 1.7682 6.7336
2.4176 0.7025 2.2917
4.5999 1.2353 4.5126
0.0000 0.0000 0.0000

Ba2GaCo, relaxed, DFT PBE; total magnetization = 0.30 μB per formula unit; ρ = 4.357 Mg/m³; space-group type = I-42d, No. 122; DFT formation energy = 0.05 eV per formula unit
1.0
11.4878 0.0000 0.0000
0.0000 11.4878 0.0000
5.7439 5.7439 2.3292
Co Ba Ga
2 4 2
Cartesian
5.7439 5.7439 0.0000
5.7439 11.4878 1.1646
5.0594 8.6159 0.5823
14.3598 12.1723 1.7469
8.6159 10.8034 1.7469
6.4284 2.8720 0.5823
0.0000 0.0000 0.0000
11.4878 5.7439 1.1646